No. 1
Rb2VSiO4: relaxed, PBE with a Hubbard U.

Values from the calculation:
Raw total energy in eV/f.u.: -50.33
SG: Fddd

Cell lengths 5.3165, 6.5599, 10.7585 Å; angles 84.25, 75.70, 66.09 degrees
Site moments in Bohr magnetons follow the coordinates.
Sites, in units of the cell vectors:
Rb  0.1752  0.0000  0.6495  0.01
Rb  0.8248  0.0000  0.3505  0.01
Rb  0.5748  0.5000  0.8505  0.01
Rb  0.9252  0.5000  0.1495  0.01
V  0.7500  0.5000  0.5000  2.57
V  0.0000  0.0000  0.0000  2.57
Si  0.2500  0.5000  0.5000  0.01
Si  0.5000  0.0000  0.0000  0.01
O  0.3375  0.8435  0.0830  -0.01
O  0.2640  0.1565  0.9170  -0.01
O  0.8190  0.8435  0.9170  -0.01
O  0.5795  0.1565  0.0830  -0.01
O  0.4125  0.6565  0.4170  -0.01
O  0.4860  0.3435  0.5830  -0.01
O  0.9310  0.6565  0.5830  -0.01
O  0.1705  0.3435  0.4170  -0.01

No. 2
RbVSiO2: relaxed, PBE with a Hubbard U.

Values from the calculation:
Raw total energy in eV/f.u.: -21.34
SG: P4/mmm

Cell lengths 3.9077, 5.9350, 3.9077 Å; angles 90.00, 90.00, 90.00 degrees
Site moments in Bohr magnetons follow the coordinates.
Sites, in units of the cell vectors:
Si  0.0000  0.0000  0.0000  0.00
O  0.0000  0.0000  0.5000  0.03
O  0.5000  0.0000  0.0000  0.02
Rb  0.0000  0.5000  0.0000  0.19
V  0.5000  0.5000  0.5000  3.50

No. 3
Rb2SiWO6: relaxed, PBE with a Hubbard U.

Values from the calculation:
Raw total energy in eV/f.u.: -63.61
SG: I4/mmm

Cell lengths 5.2336, 5.2329, 6.6351 Å; angles 66.78, 66.77, 90.00 degrees
Sites, in units of the cell vectors:
Rb  0.7500  0.2499  0.5000
Rb  0.2500  0.7501  0.5000
Si  0.5000  0.5000  0.0000
W  0.0000  0.0000  0.0000
O  0.1699  0.1699  0.6602
O  0.7286  0.7286  0.0000
O  0.2714  0.7286  0.0000
O  0.7286  0.2714  0.0000
O  0.2714  0.2714  0.0000
O  0.8301  0.8301  0.3398

No. 4
RbSiWO6: relaxed, PBE with a Hubbard U.

Values from the calculation:
Raw total energy in eV/f.u.: -60.82
SG: P312

Cell lengths 5.0872, 5.0872, 6.3156 Å; angles 90.00, 90.00, 60.00 degrees
Site moments in Bohr magnetons follow the coordinates.
Sites, in units of the cell vectors:
Rb  0.0000  0.0000  0.0000  0.01
Si  0.6666  0.6667  0.5000  -0.01
W  0.3333  0.3334  0.5000  -0.09
O  0.9787  0.4043  0.3364  0.16
O  0.4042  0.9787  0.6635  0.17
O  0.6170  0.4043  0.6636  0.16
O  0.9787  0.6170  0.6636  0.16
O  0.4043  0.6170  0.3364  0.16
O  0.6170  0.9787  0.3364  0.17

Number 4 is which compound?
RbSiWO6

raw total energy of number 2 (RbVSiO2)?
-21.34 eV/f.u.

Which value of raw total energy does entry 4 give?
-60.82 eV/f.u.